(1)
LiCd3In3Pd2: relaxed, PBE-GGA.

Calculated values
Its formation energy is -208 meV/atom. The total energy comes out at -2.79 eV/atom. The space group is No. 189. The theoretical density is 8.4 g cm⁻³.

Unit cell a=7.9282 b=7.9282 c=3.2720 alpha=90.00 beta=90.00 gamma=120.00
With the nearest neighbours (Å) after each atom.
Atoms (fractional coordinates):
Li1 0.0000 0.0000 0.0000  6 Cd 2.74
Cd1 0.0000 0.7228 0.5000  2 Li 2.74, 2 Pd 2.89
Cd2 0.2772 0.2772 0.5000  2 Li 2.74, 2 Pd 2.89
Cd3 0.7228 0.0000 0.5000  2 Li 2.74, 2 Pd 2.89
In1 0.0000 0.3875 0.0000  4 Pd 2.95, 1 Li 3.07, 6 Cd 3.12-3.19, 2 In 3.27
In2 0.3875 0.0000 0.0000  4 Pd 2.95, 1 Li 3.07, 6 Cd 3.12-3.19, 2 In 3.27
In3 0.6125 0.6125 0.0000  4 Pd 2.95, 1 Li 3.07, 6 Cd 3.12-3.19, 2 In 3.27
Pd1 0.3333 0.6667 0.5000  3 Cd 2.89, 6 In 2.95
Pd2 0.6667 0.3333 0.5000  3 Cd 2.89, 6 In 2.95

***

(2)
Li2PmCd2In2: relaxed, PBE-GGA.

Calculated values
Its formation energy is -314 meV/atom. The total energy comes out at -2.58 eV/atom. The space group is No. 12. The theoretical density is 6.5 g cm⁻³.

Unit cell a=4.9872 b=4.9872 c=7.7461 alpha=103.83 beta=103.83 gamma=58.23
With the nearest neighbours (Å) after each atom.
Atoms (fractional coordinates):
Li1 0.1315 0.1315 0.4334  1 Li 2.76, 1 Cd 2.80, 1 In 2.98
Li2 0.8685 0.8685 0.5666  1 Li 2.76, 1 Cd 2.80, 1 In 2.98
Pm1 0.0000 0.0000 0.0000  6 Cd 3.21-3.23, 2 Li 3.24, 4 In 3.48
Cd1 0.2812 0.2812 0.8020  1 Li 2.80, 3 In 2.91-2.93
Cd2 0.7188 0.7188 0.1980  1 Li 2.80, 3 In 2.91-2.93
In1 0.4103 0.4103 0.2796  3 Cd 2.91-2.93, 3 Li 2.98-3.13
In2 0.5897 0.5897 0.7204  3 Cd 2.91-2.93, 3 Li 2.98-3.13

***

(3)
Li2PrCd2In2: relaxed, PBE-GGA.

Calculated values
Its formation energy is -312 meV/atom. The total energy comes out at -2.59 eV/atom. The space group is No. 166. The theoretical density is 6.2 g cm⁻³.

Unit cell a=8.4751 b=8.4751 c=8.4751 alpha=33.21 beta=33.21 gamma=33.21
With the nearest neighbours (Å) after each atom.
Atoms (fractional coordinates):
Li1 0.1420 0.1420 0.1420  1 In 2.91, 3 Cd 2.95, 3 Li 3.04
Li2 0.8580 0.8580 0.8580  1 In 2.91, 3 Cd 2.95, 3 Li 3.04
Pr1 0.0000 0.0000 0.0000  6 In 3.26, 2 Li 3.41
Cd1 0.4359 0.4359 0.4359  3 In 2.90, 3 Li 2.95, 1 Cd 3.08
Cd2 0.5641 0.5641 0.5641  3 In 2.90, 3 Li 2.95, 1 Cd 3.08
In1 0.2635 0.2635 0.2635  3 Cd 2.90, 1 Li 2.91
In2 0.7365 0.7365 0.7365  3 Cd 2.90, 1 Li 2.91

***

(4)
RbLiCd2In: relaxed, PBE-GGA.

Calculated values
Its formation energy is 16 meV/atom. The total energy comes out at -1.47 eV/atom. The space group is No. 123. The theoretical density is 4.0 g cm⁻³.

Unit cell a=5.6935 b=5.6935 c=5.5629 alpha=90.00 beta=90.00 gamma=90.00
With the nearest neighbours (Å) after each atom.
Atoms (fractional coordinates):
Rb1 0.0000 0.0000 0.0000  8 Cd 3.98, 4 Li 4.03
Li1 0.5000 0.5000 0.0000  2 In 2.78
Cd1 0.0000 0.5000 0.5000  2 In 2.85
Cd2 0.5000 0.0000 0.5000  2 In 2.85
In1 0.5000 0.5000 0.5000  2 Li 2.78, 4 Cd 2.85

***

(5)
RbLiCd2In: relaxed, PBE-GGA.

Calculated values
Its formation energy is 32 meV/atom. The total energy comes out at -1.46 eV/atom. The space group is No. 123. The theoretical density is 4.7 g cm⁻³.

Unit cell a=5.3683 b=5.3683 c=5.2947 alpha=90.00 beta=90.00 gamma=90.00
With the nearest neighbours (Å) after each atom.
Atoms (fractional coordinates):
Rb1 0.0000 0.0000 0.0000  8 Cd 3.77, 4 In 3.80
Li1 0.5000 0.5000 0.5000  2 In 2.65, 4 Cd 2.68
Cd1 0.0000 0.5000 0.5000  2 Li 2.68
Cd2 0.5000 0.0000 0.5000  2 Li 2.68
In1 0.5000 0.5000 0.0000  2 Li 2.65

***

(6)
RbLiCd6In: relaxed, PBE-GGA.

Calculated values
Its formation energy is 95 meV/atom. The total energy comes out at -1.14 eV/atom. The space group is No. 74. The theoretical density is 5.3 g cm⁻³.

Unit cell a=11.3953 b=11.3953 c=11.3953 alpha=145.13 beta=138.89 gamma=54.98
With the nearest neighbours (Å) after each atom.
Atoms (fractional coordinates):
Rb1 0.2788 0.0288 0.2500  7 Cd 3.41-3.74
Rb2 0.7212 0.9712 0.7500  7 Cd 3.41-3.74
Li1 0.0000 0.0000 0.5000  6 Cd 2.80-2.84
Li2 0.0000 0.5000 0.0000  6 Cd 2.80-2.84
Cd1 0.1100 0.8600 0.2500  2 Li 2.80, 4 Cd 2.99
Cd2 0.2315 0.4079 0.2839  1 Li 2.84, 5 Cd 2.90-3.14
Cd3 0.2315 0.9477 0.8236  1 Li 2.84, 5 Cd 2.90-3.14
Cd4 0.3489 0.5989 0.7500  2 In 2.83, 4 Cd 2.90
Cd5 0.3759 0.0523 0.7839  1 Li 2.84, 5 Cd 2.90-3.14
Cd6 0.3759 0.5921 0.3236  1 Li 2.84, 5 Cd 2.90-3.14
Cd7 0.6241 0.4079 0.6764  1 Li 2.84, 5 Cd 2.90-3.14
Cd8 0.6241 0.9477 0.2161  1 Li 2.84, 5 Cd 2.90-3.14
Cd9 0.6511 0.4011 0.2500  2 In 2.83, 4 Cd 2.90
Cd10 0.7685 0.0523 0.1764  1 Li 2.84, 5 Cd 2.90-3.14
Cd11 0.7685 0.5921 0.7161  1 Li 2.84, 5 Cd 2.90-3.14
Cd12 0.8900 0.1400 0.7500  2 Li 2.80, 4 Cd 2.99
In1 0.0000 0.5000 0.5000  2 Cd 2.83
In2 0.5000 0.5000 0.0000  2 Cd 2.83

***

(7)
LiCd2InRh: relaxed, PBE-GGA.

Calculated values
Its formation energy is -13 meV/atom. The total energy comes out at -2.78 eV/atom. The space group is No. 123. The theoretical density is 5.4 g cm⁻³.

Unit cell a=5.2053 b=5.2053 c=5.0775 alpha=90.00 beta=90.00 gamma=90.00
With the nearest neighbours (Å) after each atom.
Atoms (fractional coordinates):
Li1 0.0000 0.0000 0.0000  8 Cd 3.64, 4 In 3.68
Cd1 0.0000 0.5000 0.5000  2 Rh 2.60
Cd2 0.5000 0.0000 0.5000  2 Rh 2.60
In1 0.5000 0.5000 0.0000  2 Rh 2.54
Rh1 0.5000 0.5000 0.5000  2 In 2.54, 4 Cd 2.60

***

(8)
LiCdIn2S4: relaxed, PBE-GGA.

Calculated values
The total energy comes out at -3.78 eV/atom. As for the formation energy without anion corrections: -0.676 eV per atom. The space group is No. 42. The theoretical density is 3.9 g cm⁻³.

Unit cell a=7.1621 b=6.9136 c=6.0598 alpha=66.64 beta=62.40 gamma=50.96
With the nearest neighbours (Å) after each atom.
Atoms (fractional coordinates):
Li1 0.0000 0.0000 0.0000  4 S 2.46-2.55
Cd1 0.4988 0.4988 0.5012  4 S 2.57-2.60
In1 0.2437 0.2437 0.2563  4 S 2.57-2.59
In2 0.7437 0.7437 0.7563  4 S 2.57-2.59
S1 0.1328 0.6396 0.3604  1 Li 2.55, 2 In 2.59, 1 Cd 2.60
S2 0.3742 0.8897 0.6258  1 Li 2.46, 2 In 2.57, 1 Cd 2.57
S3 0.6396 0.1328 0.8672  1 Li 2.55, 2 In 2.59, 1 Cd 2.60
S4 0.8897 0.3742 0.1103  1 Li 2.46, 2 In 2.57, 1 Cd 2.57

***

(9)
LiCdIn2S: relaxed, PBE-GGA.

Calculated values
The total energy comes out at -2.29 eV/atom. As for the formation energy without anion corrections: 0.202 eV per atom. The space group is No. 123. The theoretical density is 4.0 g cm⁻³.

Unit cell a=5.5613 b=5.5613 c=5.1421 alpha=90.00 beta=90.00 gamma=90.00
With the nearest neighbours (Å) after each atom.
Atoms (fractional coordinates):
Li1 0.0000 0.0000 0.0000  8 In 3.79, 4 Cd 3.93
Cd1 0.5000 0.5000 0.0000  2 S 2.57
In1 0.0000 0.5000 0.5000  2 S 2.78
In2 0.5000 0.0000 0.5000  2 S 2.78
S1 0.5000 0.5000 0.5000  2 Cd 2.57, 4 In 2.78

***

(10)
LiCd2InSe: relaxed, PBE-GGA.

Calculated values
The total energy comes out at -1.75 eV/atom. As for the formation energy without anion corrections: 0.246 eV per atom. The space group is No. 123. The theoretical density is 4.0 g cm⁻³.

Unit cell a=5.3404 b=5.3404 c=6.1854 alpha=90.00 beta=90.00 gamma=90.00
With the nearest neighbours (Å) after each atom.
Atoms (fractional coordinates):
Li1 0.0000 0.0000 0.0000  4 In 3.78, 8 Cd 4.09
Cd1 0.0000 0.5000 0.5000  2 Se 2.67
Cd2 0.5000 0.0000 0.5000  2 Se 2.67
In1 0.5000 0.5000 0.0000  2 Se 3.09
Se1 0.5000 0.5000 0.5000  4 Cd 2.67

***

(11)
Li2Sm3Cd4In2: relaxed, PBE-GGA.

Calculated values
Its formation energy is -138 meV/atom. The total energy comes out at -2.60 eV/atom. The space group is No. 139. The theoretical density is 6.8 g cm⁻³.

Unit cell a=14.2804 b=14.2804 c=14.2804 alpha=161.90 beta=161.90 gamma=25.71
With the nearest neighbours (Å) after each atom.
Atoms (fractional coordinates):
Li1 0.1721 0.1721 0.0000  4 Cd 2.74
Li2 0.8279 0.8279 0.0000  4 Cd 2.74
Sm1 0.2932 0.2932 0.0000  5 Li 3.32-3.37, 4 Cd 3.39
Sm2 0.5000 0.5000 0.0000  8 In 3.46
Sm3 0.7068 0.7068 0.0000  5 Li 3.32-3.37, 4 Cd 3.39
Cd1 0.1157 0.6157 0.5000  2 Li 2.74, 2 In 2.91
Cd2 0.3843 0.8843 0.5000  2 Li 2.74, 2 In 2.91
Cd3 0.6157 0.1157 0.5000  2 Li 2.74, 2 In 2.91
Cd4 0.8843 0.3843 0.5000  2 Li 2.74, 2 In 2.91
In1 0.0492 0.0492 0.0000  1 In 2.74, 4 Cd 2.91
In2 0.9508 0.9508 0.0000  1 In 2.74, 4 Cd 2.91